No. 1
VASP calculation (GGA-PBE) on a geometry-optimized SbPdNO structure.

a = 3.2696 Å, b = 5.4309 Å, c = 6.3754 Å
α = 90.00°, β = 90.00°, γ = 90.00°
Closest atoms and distances in Å follow each position.
Sites, in units of the cell vectors:
Pd 0.5000 0.0018 0.2548  2 N 2.09
Pd 0.5000 0.5018 0.7452  2 N 2.09
N 0.0000 0.3125 0.6179  2 Pd 2.09, 2 Sb 2.15-2.18
N 0.0000 0.8125 0.3821  2 Pd 2.09, 2 Sb 2.15-2.18
Sb 0.0000 0.4240 0.2952  2 O 2.06, 2 N 2.15-2.18
Sb 0.0000 0.9240 0.7048  2 O 2.06, 2 N 2.15-2.18
O 0.5000 0.5156 0.1134  2 Sb 2.06
O 0.5000 0.0156 0.8866  2 Sb 2.06

Summary:
Symmetry = Pmc2_1, No. 26



No. 2
VASP calculation (GGA-PBE) on a geometry-optimized Mg4Re3 structure.

a = 7.8551 Å, b = 7.8550 Å, c = 4.6164 Å
α = 90.00°, β = 90.00°, γ = 60.00°
Closest atoms and distances in Å follow each position.
Sites, in units of the cell vectors:
Re 0.6797 0.4480 0.0000  6 Re 2.58-2.75, 1 Mg 2.84
Re 0.3051 0.5866 0.0000  6 Re 2.58-2.75, 1 Mg 2.84
Re 0.6465 0.6526 0.5000  6 Re 2.58-2.75, 1 Mg 2.85
Re 0.2722 0.7894 0.5000  6 Re 2.58-2.75, 1 Mg 2.85
Re 0.5098 0.4151 0.5000  6 Re 2.58-2.75, 1 Mg 2.85
Re 0.4437 0.8225 0.0000  6 Re 2.58-2.75, 1 Mg 2.84
Mg 0.9352 0.2451 0.5000  4 Re 2.85-2.95, 7 Mg 2.90-3.14
Mg 0.0172 0.9932 0.0000  4 Re 2.84-2.95, 7 Mg 2.90-3.14
Mg 0.5610 0.1601 0.0000  4 Re 2.84-2.95, 7 Mg 2.90-3.14
Mg 0.8095 0.9524 0.5000  9 Mg 2.92-2.94, 3 Re 3.19
Mg 0.1023 0.5340 0.5000  4 Re 2.85-2.95, 7 Mg 2.90-3.14
Mg 0.8504 0.7039 0.0000  4 Re 2.84-2.95, 7 Mg 2.90-3.14
Mg 0.1429 0.2857 0.0000  9 Mg 2.92-2.93, 3 Re 3.20
Mg 0.3911 0.0780 0.5000  4 Re 2.85-2.95, 7 Mg 2.90-3.14

Summary:
Symmetry = P-6, No. 174



No. 3
VASP calculation (GGA-PBE) on a geometry-optimized Cu2SbAsP2Pb2 structure.

a = 3.9630 Å, b = 3.9630 Å, c = 10.9058 Å
α = 90.00°, β = 90.00°, γ = 90.00°
Closest atoms and distances in Å follow each position.
Sites, in units of the cell vectors:
P 0.5000 0.0000 0.6272  4 Cu 2.42
P 0.0000 0.5000 0.3728  4 Cu 2.42
Pb 0.5000 0.0000 0.2550  4 P 3.08, 4 Cu 3.33, 2 As 3.41, 2 Sb 3.41
Pb 0.0000 0.5000 0.7450  4 P 3.08, 4 Cu 3.33, 2 As 3.41, 2 Sb 3.41
As 0.0000 0.0000 0.0000  4 Sb 2.80
Cu 0.5000 0.5000 0.5000  4 P 2.42
Cu 0.0000 0.0000 0.5000  4 P 2.42
Sb 0.5000 0.5000 0.0000  4 As 2.80

Summary:
Symmetry = P-4m2, No. 115



No. 4
VASP calculation (GGA-PBE) on a geometry-optimized ErH2O2F structure.

a = 5.9306 Å, b = 3.4730 Å, c = 6.0117 Å
α = 90.00°, β = 119.14°, γ = 90.00°
Closest atoms and distances in Å follow each position.
Sites, in units of the cell vectors:
H 0.1291 0.7500 0.7582  1 O 0.97
H 0.2493 0.2500 0.6243  1 O 0.97
H 0.7507 0.7500 0.3757  1 O 0.97
H 0.8709 0.2500 0.2418  1 O 0.97
Er 0.6587 0.7500 0.8230  6 O 2.31-2.36, 3 F 2.37
Er 0.3413 0.2500 0.1770  6 O 2.31-2.36, 3 F 2.37
O 0.3058 0.7500 0.8962  1 H 0.97
O 0.6942 0.2500 0.1038  1 H 0.97
O 0.3877 0.2500 0.5815  1 H 0.97
O 0.6123 0.7500 0.4185  1 H 0.97
F 0.0744 0.7500 0.1877  2 H 2.23, 3 Er 2.37
F 0.9256 0.2500 0.8123  2 H 2.23, 3 Er 2.37

Summary:
Symmetry = P2_1/m, No. 11



No. 5
VASP calculation (GGA-PBE) on a geometry-optimized ErGa3S structure.

a = 4.8313 Å, b = 4.8313 Å, c = 4.8313 Å
α = 90.00°, β = 90.00°, γ = 90.00°
Closest atoms and distances in Å follow each position.
Sites, in units of the cell vectors:
Ga 0.5000 0.5000 0.0000  2 S 2.42
Ga 0.5000 0.0000 0.5000  2 S 2.42
Ga 0.0000 0.5000 0.5000  2 S 2.42
Er 0.0000 0.0000 0.0000  12 Ga 3.42
S 0.5000 0.5000 0.5000  6 Ga 2.42

Summary:
Symmetry = Pm-3m, No. 221



No. 6
VASP calculation (GGA-PBE) on a geometry-optimized Sr2NiH6Os structure.

a = 5.2756 Å, b = 5.2756 Å, c = 5.2756 Å
α = 60.00°, β = 60.00°, γ = 60.00°
Closest atoms and distances in Å follow each position.
Sites, in units of the cell vectors:
H 0.2438 0.7562 0.7562  1 Os 1.82, 1 Ni 1.91
H 0.7562 0.2438 0.2438  1 Os 1.82, 1 Ni 1.91
H 0.2438 0.2438 0.7562  1 Os 1.82, 1 Ni 1.91
H 0.7562 0.7562 0.2438  1 Os 1.82, 1 Ni 1.91
H 0.2438 0.7562 0.2438  1 Os 1.82, 1 Ni 1.91
H 0.7562 0.2438 0.7562  1 Os 1.82, 1 Ni 1.91
Ni 0.5000 0.5000 0.5000  6 H 1.91
Sr 0.2500 0.2500 0.2500  12 H 2.64
Sr 0.7500 0.7500 0.7500  12 H 2.64
Os 0.0000 0.0000 0.0000  6 H 1.82

Summary:
Symmetry = Fm-3m, No. 225



No. 7
VASP calculation (GGA-PBE) on a geometry-optimized RbTlAu structure.

a = 5.4083 Å, b = 5.4083 Å, c = 5.4083 Å
α = 60.00°, β = 60.00°, γ = 60.00°
Closest atoms and distances in Å follow each position.
Sites, in units of the cell vectors:
Tl 0.7500 0.7500 0.7500  4 Au 3.31
Rb 0.2500 0.2500 0.2500  4 Au 3.31
Au 0.0000 0.0000 0.0000  4 Rb 3.31, 4 Tl 3.31

Summary:
Symmetry = F-43m, No. 216



No. 8
VASP calculation (GGA-PBE) on a geometry-optimized ThBi structure.

a = 3.7919 Å, b = 3.7925 Å, c = 5.1215 Å
α = 90.00°, β = 90.00°, γ = 119.99°
Closest atoms and distances in Å follow each position.
Sites, in units of the cell vectors:
Th 0.3333 0.6667 0.2500  6 Bi 3.37
Bi 0.6667 0.3333 0.7500  6 Th 3.37

Summary:
Symmetry = P-6m2, No. 187



No. 9
VASP calculation (GGA-PBE) on a geometry-optimized YTeOs2 structure.

a = 4.7618 Å, b = 4.7618 Å, c = 4.7618 Å
α = 60.00°, β = 60.00°, γ = 60.00°
Closest atoms and distances in Å follow each position.
Sites, in units of the cell vectors:
Os 0.2500 0.2500 0.2500  4 Y 2.92, 4 Os 2.92
Os 0.0000 0.0000 0.0000  4 Te 2.92, 4 Os 2.92
Te 0.7500 0.7500 0.7500  4 Y 2.92, 4 Os 2.92
Y 0.5000 0.5000 0.5000  4 Te 2.92, 4 Os 2.92

Summary:
Symmetry = F-43m, No. 216



No. 10
VASP calculation (GGA-PBE) on a geometry-optimized Zr4GaAsN2 structure.

a = 3.3592 Å, b = 3.3592 Å, c = 13.2113 Å
α = 90.00°, β = 90.00°, γ = 120.00°
Closest atoms and distances in Å follow each position.
Sites, in units of the cell vectors:
Zr 0.0000 0.0000 0.3331  3 N 2.28
Zr 0.0000 0.0000 0.6669  3 N 2.28
Zr 0.6667 0.3333 0.1452  3 N 2.32
Zr 0.6667 0.3333 0.8548  3 N 2.32
As 0.0000 0.0000 0.0000  6 Zr 2.73
Ga 0.6667 0.3333 0.5000  6 Zr 2.94
N 0.3333 0.6667 0.2418  6 Zr 2.28-2.32
N 0.3333 0.6667 0.7582  6 Zr 2.28-2.32

Summary:
Symmetry = P-6m2, No. 187



No. 11
VASP calculation (GGA-PBE) on a geometry-optimized PrY2Ni2B2N3 structure.

a = 10.4825 Å, b = 10.4825 Å, c = 10.4825 Å
α = 160.60°, β = 160.60°, γ = 27.57°
Closest atoms and distances in Å follow each position.
Sites, in units of the cell vectors:
Pr 0.0000 0.0000 0.0000  6 N 2.46-2.50
N 0.8791 0.8791 0.0000  1 B 1.44
N 0.5000 0.5000 0.0000  4 Pr 2.50, 2 Y 2.54
N 0.1209 0.1209 0.0000  1 B 1.44
B 0.1919 0.1919 0.0000  1 N 1.44
B 0.8081 0.8081 0.0000  1 N 1.44
Y 0.6249 0.6249 0.0000  5 N 2.50-2.54
Y 0.3751 0.3751 0.0000  5 N 2.50-2.54
Ni 0.2500 0.7500 0.5000  4 B 2.13
Ni 0.7500 0.2500 0.5000  4 B 2.13

Summary:
Symmetry = I4/mmm, No. 139



No. 12
VASP calculation (GGA-PBE) on a geometry-optimized Cs2NaPrBr6 structure.

a = 8.2253 Å, b = 8.2253 Å, c = 8.2253 Å
α = 60.00°, β = 60.00°, γ = 60.00°
Closest atoms and distances in Å follow each position.
Sites, in units of the cell vectors:
Br 0.7495 0.7495 0.2505  1 Pr 2.90, 1 Na 2.91
Br 0.2505 0.7495 0.2505  1 Pr 2.90, 1 Na 2.91
Br 0.2505 0.7495 0.7495  1 Pr 2.90, 1 Na 2.91
Br 0.7495 0.2505 0.7495  1 Pr 2.90, 1 Na 2.91
Br 0.7495 0.2505 0.2505  1 Pr 2.90, 1 Na 2.91
Br 0.2505 0.2505 0.7495  1 Pr 2.90, 1 Na 2.91
Cs 0.2500 0.2500 0.2500  12 Br 4.11
Cs 0.7500 0.7500 0.7500  12 Br 4.11
Na 0.0000 0.0000 0.0000  6 Br 2.91
Pr 0.5000 0.5000 0.5000  6 Br 2.90

Summary:
Symmetry = Fm-3m, No. 225



No. 13
VASP calculation (GGA-PBE) on a geometry-optimized LiDyHgS3 structure.

a = 10.5614 Å, b = 3.9921 Å, c = 12.6382 Å
α = 90.00°, β = 90.00°, γ = 90.00°
Closest atoms and distances in Å follow each position.
Sites, in units of the cell vectors:
Dy 0.3818 0.7500 0.2386  6 S 2.70-2.81
Dy 0.1182 0.2500 0.7386  6 S 2.70-2.81
Dy 0.6182 0.2500 0.7614  6 S 2.70-2.81
Dy 0.8818 0.7500 0.2614  6 S 2.70-2.81
Hg 0.1288 0.2500 0.1072  2 S 2.40-2.41
Hg 0.8712 0.7500 0.8928  2 S 2.40-2.41
Hg 0.3712 0.7500 0.6072  2 S 2.40-2.41
Hg 0.6288 0.2500 0.3928  2 S 2.40-2.41
Li 0.1516 0.2500 0.4195  3 S 2.55-2.67
Li 0.6516 0.2500 0.0805  3 S 2.55-2.67
Li 0.3484 0.7500 0.9195  3 S 2.55-2.67
Li 0.8484 0.7500 0.5805  3 S 2.55-2.67
S 0.5986 0.7500 0.6125  1 Hg 2.40, 1 Li 2.67
S 0.8661 0.2500 0.7049  2 Li 2.55, 2 Dy 2.70-2.71
S 0.8556 0.2500 0.4161  1 Hg 2.41
S 0.0986 0.7500 0.8875  1 Hg 2.40, 1 Li 2.67
S 0.9014 0.2500 0.1125  1 Hg 2.40, 1 Li 2.67
S 0.3556 0.2500 0.0839  1 Hg 2.41
S 0.1444 0.7500 0.5839  1 Hg 2.41
S 0.6444 0.7500 0.9161  1 Hg 2.41
S 0.6339 0.7500 0.2049  2 Li 2.55, 2 Dy 2.70-2.71
S 0.4014 0.2500 0.3875  1 Hg 2.40, 1 Li 2.67
S 0.3661 0.2500 0.7951  2 Li 2.55, 2 Dy 2.70-2.71
S 0.1339 0.7500 0.2951  2 Li 2.55, 2 Dy 2.70-2.71

Summary:
Symmetry = Pnma, No. 62



No. 14
VASP calculation (GGA-PBE) on a geometry-optimized YZnCuBi structure.

a = 4.9792 Å, b = 4.9792 Å, c = 4.9792 Å
α = 60.00°, β = 60.00°, γ = 60.00°
Closest atoms and distances in Å follow each position.
Sites, in units of the cell vectors:
Zn 0.7500 0.7500 0.7500  4 Bi 3.05, 4 Y 3.05
Cu 0.2500 0.2500 0.2500  4 Bi 3.05, 4 Y 3.05
Y 0.5000 0.5000 0.5000  4 Zn 3.05, 4 Cu 3.05
Bi 0.0000 0.0000 0.0000  4 Zn 3.05, 4 Cu 3.05

Summary:
Symmetry = F-43m, No. 216



No. 15
VASP calculation (GGA-PBE) on a geometry-optimized PrTaPb2O6 structure.

a = 5.3955 Å, b = 5.4500 Å, c = 5.6627 Å
α = 96.26°, β = 92.00°, γ = 103.51°
Closest atoms and distances in Å follow each position.
Sites, in units of the cell vectors:
Pb 0.6934 0.2964 0.5283  4 O 2.36-2.54
Pb 0.3066 0.7036 0.4717  4 O 2.36-2.54
O 0.6756 0.6904 0.7358  1 Ta 2.05
O 0.2838 0.2484 0.7460  1 Ta 2.00
O 0.7475 0.2875 0.9704  1 Ta 1.96
O 0.2525 0.7125 0.0296  1 Ta 1.96
O 0.7162 0.7516 0.2540  1 Ta 2.00
O 0.3244 0.3096 0.2642  1 Ta 2.05
Ta 0.5000 0.5000 0.0000  6 O 1.96-2.05
Pr 0.0000 0.0000 0.0000  6 O 2.32-2.46

Summary:
Symmetry = P-1, No. 2



No. 16
VASP calculation (GGA-PBE) on a geometry-optimized Tm2ScAl3AgGe2 structure.

a = 4.2006 Å, b = 6.9109 Å, c = 6.9109 Å
α = 119.52°, β = 90.00°, γ = 90.00°
Closest atoms and distances in Å follow each position.
Sites, in units of the cell vectors:
Ge 0.5000 0.6606 0.3351  3 Al 2.66-2.72, 2 Sc 2.92, 2 Tm 2.97
Ge 0.5000 0.3351 0.6606  3 Al 2.66-2.72, 2 Sc 2.92, 2 Tm 2.97
Tm 0.0000 0.5826 0.9978  1 Ag 2.91, 4 Ge 2.97-2.98, 2 Al 3.16
Tm 0.0000 0.9978 0.5826  1 Ag 2.91, 4 Ge 2.97-2.98, 2 Al 3.16
Al 0.5000 0.2425 0.0006  2 Ge 2.67-2.72, 2 Ag 2.67, 2 Al 2.89-2.91
Al 0.5000 0.0006 0.2425  2 Ge 2.67-2.72, 2 Ag 2.67, 2 Al 2.89-2.91
Al 0.5000 0.7578 0.7578  2 Ge 2.66, 2 Ag 2.73, 2 Al 2.91
Sc 0.0000 0.4151 0.4151  1 Ag 2.83, 4 Ge 2.92
Ag 0.0000 0.0079 0.0079  6 Al 2.67-2.73, 1 Sc 2.83, 2 Tm 2.91

Summary:
Symmetry = Amm2, No. 38



No. 17
VASP calculation (GGA-PBE) on a geometry-optimized RbAg2PSO3 structure.

a = 5.4913 Å, b = 5.4913 Å, c = 5.7762 Å
α = 114.02°, β = 114.02°, γ = 94.22°
Closest atoms and distances in Å follow each position.
Sites, in units of the cell vectors:
Ag 0.2363 0.7498 0.4950  2 O 2.32-2.47, 1 S 2.47
Ag 0.7498 0.2363 0.4950  2 O 2.32-2.47, 1 S 2.47
P 0.0347 0.0347 0.0448  3 O 1.54-1.56
Rb 0.4641 0.4641 0.9535  6 O 2.95-3.30, 1 S 3.19
S 0.7168 0.7168 0.6350  1 P 2.13
O 0.0094 0.0094 0.2932  1 P 1.56
O 0.9833 0.3056 0.0418  1 P 1.54
O 0.3056 0.9833 0.0418  1 P 1.54

Summary:
Symmetry = Cm, No. 8



No. 18
VASP calculation (GGA-PBE) on a geometry-optimized LiPuPb structure.

a = 4.7656 Å, b = 4.7656 Å, c = 4.7656 Å
α = 60.00°, β = 60.00°, γ = 60.00°
Closest atoms and distances in Å follow each position.
Sites, in units of the cell vectors:
Pb 0.2500 0.2500 0.2500  4 Li 2.92
Li 0.0000 0.0000 0.0000  4 Pu 2.92, 4 Pb 2.92
Pu 0.7500 0.7500 0.7500  4 Li 2.92

Summary:
Symmetry = F-43m, No. 216



No. 19
VASP calculation (GGA-PBE) on a geometry-optimized Y4ErLu2Ni2Te2 structure.

a = 9.3265 Å, b = 9.3265 Å, c = 9.3265 Å
α = 156.18°, β = 66.79°, γ = 118.64°
Closest atoms and distances in Å follow each position.
Sites, in units of the cell vectors:
Y 0.4148 0.0990 0.3159  3 Ni 2.82-3.13
Y 0.7831 0.0990 0.6841  3 Ni 2.82-3.13
Y 0.0996 0.7455 0.3541  2 Ni 2.87, 2 Te 3.15
Y 0.3914 0.7455 0.6459  2 Ni 2.87, 2 Te 3.15
Er 0.4778 0.4778 0.0000  3 Te 3.19-3.25
Ni 0.6462 0.4046 0.2416  2 Lu 2.74, 4 Y 2.82-2.87
Ni 0.1630 0.4046 0.7584  2 Lu 2.74, 4 Y 2.82-2.87
Te 0.1363 0.1363 0.0000  2 Lu 3.10, 4 Y 3.15, 1 Er 3.25
Te 0.7453 0.2453 0.5000  4 Lu 3.17, 2 Y 3.19, 2 Er 3.19
Lu 0.0280 0.8943 0.1337  2 Ni 2.74
Lu 0.7606 0.8943 0.8663  2 Ni 2.74

Summary:
Symmetry = Imm2, No. 44



No. 20
VASP calculation (GGA-PBE) on a geometry-optimized LiHfTcTe structure.

a = 4.5609 Å, b = 4.5609 Å, c = 4.5609 Å
α = 60.00°, β = 60.00°, γ = 60.00°
Closest atoms and distances in Å follow each position.
Sites, in units of the cell vectors:
Li 0.7500 0.7500 0.7500  4 Hf 2.79, 4 Te 2.79
Hf 0.0000 0.0000 0.0000  4 Li 2.79, 4 Tc 2.79
Tc 0.2500 0.2500 0.2500  4 Te 2.79, 4 Hf 2.79
Te 0.5000 0.5000 0.5000  4 Tc 2.79, 4 Li 2.79

Summary:
Symmetry = F-43m, No. 216



Table of theoretical density (kg/m3), in record order: 7574, 8830, 7757, 6764, 6015, 6880, 7227, 11481, 12983, 6914, 6534, 3836, 5812, 8120, 8604, 6819, 4917, 9941, 7249, 10174
Table of electronic total energy (eV per atom), in record order: -5.53, -5.88, -4.24, -6.30, -3.43, -4.39, -2.25, -6.04, -7.36, -8.54, -7.83, -3.60, -4.41, -4.01, -7.51, -4.87, -5.10, -6.57, -5.84, -6.62